(a)
# HfSbN2F, optimized geometry, DFT GGA-PBE
# Crystal system: tetragonal
data_HfSbN2F
_chemical_formula_sum 'Hf1 Sb1 N2 F1'
_cell_length_a 4.298
_cell_length_b 4.298
_cell_length_c 3.999
_cell_angle_alpha 90.00
_cell_angle_beta 90.00
_cell_angle_gamma 90.00
_symmetry_space_group_name_H-M 'P 4/m m m'
_symmetry_Int_Tables_number 123
_symmetry_space_group_name_Hall '-P 4 2'
loop_
_atom_site_label
_atom_site_fract_x
_atom_site_fract_y
_atom_site_fract_z
Hf1 0.000 0.000 0.000
Sb1 0.500 0.500 0.500
N1 0.000 0.500 0.000
F1 0.000 0.000 0.500

=====

(b)
# HfSbN2F, optimized geometry, DFT GGA-PBE
# Crystal system: tetragonal
data_HfSbN2F
_chemical_formula_sum 'Hf1 Sb1 N2 F1'
_cell_length_a 4.184
_cell_length_b 4.184
_cell_length_c 4.038
_cell_angle_alpha 90.00
_cell_angle_beta 90.00
_cell_angle_gamma 90.00
_symmetry_space_group_name_H-M 'P 4/m m m'
_symmetry_Int_Tables_number 123
_symmetry_space_group_name_Hall '-P 4 2'
loop_
_atom_site_label
_atom_site_fract_x
_atom_site_fract_y
_atom_site_fract_z
Hf1 0.000 0.000 0.000
Sb1 0.500 0.500 0.500
N1 0.000 0.500 0.500
F1 0.500 0.500 0.000

=====

Which of them is most stable, and which least? Most stable: (a); least stable: (b).

=====

(a)
# HfScNF2, optimized geometry, DFT GGA-PBE
# Crystal system: tetragonal
data_HfScNF2
_chemical_formula_sum 'Hf1 Sc1 N1 F2'
_cell_length_a 3.862
_cell_length_b 3.862
_cell_length_c 4.769
_cell_angle_alpha 90.00
_cell_angle_beta 90.00
_cell_angle_gamma 90.00
_symmetry_space_group_name_H-M 'P 4/m m m'
_symmetry_Int_Tables_number 123
_symmetry_space_group_name_Hall '-P 4 2'
loop_
_atom_site_label
_atom_site_fract_x
_atom_site_fract_y
_atom_site_fract_z
Hf1 0.000 0.000 0.000
Sc1 0.500 0.500 0.500
N1 0.500 0.500 0.000
F1 0.000 0.500 0.500

=====

(b)
# HfScNF2, optimized geometry, DFT GGA-PBE
# Crystal system: tetragonal
data_HfScNF2
_chemical_formula_sum 'Hf1 Sc1 N1 F2'
_cell_length_a 4.173
_cell_length_b 4.173
_cell_length_c 4.241
_cell_angle_alpha 90.00
_cell_angle_beta 90.00
_cell_angle_gamma 90.00
_symmetry_space_group_name_H-M 'P 4/m m m'
_symmetry_Int_Tables_number 123
_symmetry_space_group_name_Hall '-P 4 2'
loop_
_atom_site_label
_atom_site_fract_x
_atom_site_fract_y
_atom_site_fract_z
Hf1 0.000 0.000 0.000
Sc1 0.500 0.500 0.500
N1 0.000 0.000 0.500
F1 0.000 0.500 0.000

=====

Which of them is most stable, and which least? Most stable: (b); least stable: (a).

=====

(a)
# HfSe2NF, optimized geometry, DFT GGA-PBE
# Crystal system: tetragonal
data_HfSe2NF
_chemical_formula_sum 'Hf1 Se2 N1 F1'
_cell_length_a 4.495
_cell_length_b 4.495
_cell_length_c 3.909
_cell_angle_alpha 90.00
_cell_angle_beta 90.00
_cell_angle_gamma 90.00
_symmetry_space_group_name_H-M 'P 4/m m m'
_symmetry_Int_Tables_number 123
_symmetry_space_group_name_Hall '-P 4 2'
loop_
_atom_site_label
_atom_site_fract_x
_atom_site_fract_y
_atom_site_fract_z
Hf1 0.000 0.000 0.000
Se1 0.000 0.500 0.500
N1 0.500 0.500 0.000
F1 0.500 0.500 0.500

=====

(b)
# HfSe2NF, optimized geometry, DFT GGA-PBE
# Crystal system: tetragonal
data_HfSe2NF
_chemical_formula_sum 'Hf1 Se2 N1 F1'
_cell_length_a 5.192
_cell_length_b 5.192
_cell_length_c 4.147
_cell_angle_alpha 90.00
_cell_angle_beta 90.00
_cell_angle_gamma 90.00
_symmetry_space_group_name_H-M 'P 4/m m m'
_symmetry_Int_Tables_number 123
_symmetry_space_group_name_Hall '-P 4 2'
loop_
_atom_site_label
_atom_site_fract_x
_atom_site_fract_y
_atom_site_fract_z
Hf1 0.000 0.000 0.000
Se1 0.000 0.500 0.000
N1 0.000 0.000 0.500
F1 0.500 0.500 0.500

=====

Which of them is most stable, and which least? Most stable: (b); least stable: (a).

=====

(a)
# HfSiN2F, optimized geometry, DFT GGA-PBE
# Crystal system: tetragonal
data_HfSiN2F
_chemical_formula_sum 'Hf1 Si1 N2 F1'
_cell_length_a 3.738
_cell_length_b 3.738
_cell_length_c 3.470
_cell_angle_alpha 90.00
_cell_angle_beta 90.00
_cell_angle_gamma 90.00
_symmetry_space_group_name_H-M 'P 4/m m m'
_symmetry_Int_Tables_number 123
_symmetry_space_group_name_Hall '-P 4 2'
loop_
_atom_site_label
_atom_site_fract_x
_atom_site_fract_y
_atom_site_fract_z
Hf1 0.000 0.000 0.000
Si1 0.500 0.500 0.500
N1 0.000 0.500 0.500
F1 0.500 0.500 0.000

=====

(b)
# HfSiN2F, optimized geometry, DFT GGA-PBE
# Crystal system: tetragonal
data_HfSiN2F
_chemical_formula_sum 'Hf1 Si1 N2 F1'
_cell_length_a 4.213
_cell_length_b 4.213
_cell_length_c 4.036
_cell_angle_alpha 90.00
_cell_angle_beta 90.00
_cell_angle_gamma 90.00
_symmetry_space_group_name_H-M 'P 4/m m m'
_symmetry_Int_Tables_number 123
_symmetry_space_group_name_Hall '-P 4 2'
loop_
_atom_site_label
_atom_site_fract_x
_atom_site_fract_y
_atom_site_fract_z
Hf1 0.000 0.000 0.000
Si1 0.500 0.500 0.500
N1 0.000 0.500 0.000
F1 0.000 0.000 0.500

=====

Which of them is most stable, and which least? Most stable: (a); least stable: (b).

=====

(a)
# HfSiNF2, optimized geometry, DFT GGA-PBE
# Crystal system: tetragonal
data_HfSiNF2
_chemical_formula_sum 'Hf1 Si1 N1 F2'
_cell_length_a 4.151
_cell_length_b 4.151
_cell_length_c 4.241
_cell_angle_alpha 90.00
_cell_angle_beta 90.00
_cell_angle_gamma 90.00
_symmetry_space_group_name_H-M 'P 4/m m m'
_symmetry_Int_Tables_number 123
_symmetry_space_group_name_Hall '-P 4 2'
loop_
_atom_site_label
_atom_site_fract_x
_atom_site_fract_y
_atom_site_fract_z
Hf1 0.000 0.000 0.000
Si1 0.500 0.500 0.500
N1 0.000 0.000 0.500
F1 0.000 0.500 0.000

=====

(b)
# HfSiNF2, optimized geometry, DFT GGA-PBE
# Crystal system: tetragonal
data_HfSiNF2
_chemical_formula_sum 'Hf1 Si1 N1 F2'
_cell_length_a 4.459
_cell_length_b 4.459
_cell_length_c 3.246
_cell_angle_alpha 90.00
_cell_angle_beta 90.00
_cell_angle_gamma 90.00
_symmetry_space_group_name_H-M 'P 4/m m m'
_symmetry_Int_Tables_number 123
_symmetry_space_group_name_Hall '-P 4 2'
loop_
_atom_site_label
_atom_site_fract_x
_atom_site_fract_y
_atom_site_fract_z
Hf1 0.000 0.000 0.000
Si1 0.500 0.500 0.500
N1 0.500 0.500 0.000
F1 0.000 0.500 0.500

=====

Which of them is most stable, and which least? Most stable: (a); least stable: (b).

=====

(a)
# HfSnN2F, optimized geometry, DFT GGA-PBE
# Crystal system: tetragonal
data_HfSnN2F
_chemical_formula_sum 'Hf1 Sn1 N2 F1'
_cell_length_a 4.264
_cell_length_b 4.264
_cell_length_c 4.111
_cell_angle_alpha 90.00
_cell_angle_beta 90.00
_cell_angle_gamma 90.00
_symmetry_space_group_name_H-M 'P 4/m m m'
_symmetry_Int_Tables_number 123
_symmetry_space_group_name_Hall '-P 4 2'
loop_
_atom_site_label
_atom_site_fract_x
_atom_site_fract_y
_atom_site_fract_z
Hf1 0.000 0.000 0.000
Sn1 0.500 0.500 0.500
N1 0.000 0.500 0.000
F1 0.000 0.000 0.500

=====

(b)
# HfSnN2F, optimized geometry, DFT GGA-PBE
# Crystal system: tetragonal
data_HfSnN2F
_chemical_formula_sum 'Hf1 Sn1 N2 F1'
_cell_length_a 4.144
_cell_length_b 4.144
_cell_length_c 3.957
_cell_angle_alpha 90.00
_cell_angle_beta 90.00
_cell_angle_gamma 90.00
_symmetry_space_group_name_H-M 'P 4/m m m'
_symmetry_Int_Tables_number 123
_symmetry_space_group_name_Hall '-P 4 2'
loop_
_atom_site_label
_atom_site_fract_x
_atom_site_fract_y
_atom_site_fract_z
Hf1 0.000 0.000 0.000
Sn1 0.500 0.500 0.500
N1 0.000 0.500 0.500
F1 0.500 0.500 0.000

=====

Which of them is most stable, and which least? Most stable: (a); least stable: (b).

=====

(a)
# HfSnNF2, optimized geometry, DFT GGA-PBE
# Crystal system: tetragonal
data_HfSnNF2
_chemical_formula_sum 'Hf1 Sn1 N1 F2'
_cell_length_a 4.320
_cell_length_b 4.320
_cell_length_c 4.382
_cell_angle_alpha 90.00
_cell_angle_beta 90.00
_cell_angle_gamma 90.00
_symmetry_space_group_name_H-M 'P 4/m m m'
_symmetry_Int_Tables_number 123
_symmetry_space_group_name_Hall '-P 4 2'
loop_
_atom_site_label
_atom_site_fract_x
_atom_site_fract_y
_atom_site_fract_z
Hf1 0.000 0.000 0.000
Sn1 0.500 0.500 0.500
N1 0.500 0.500 0.000
F1 0.000 0.500 0.500

=====

(b)
# HfSnNF2, optimized geometry, DFT GGA-PBE
# Crystal system: tetragonal
data_HfSnNF2
_chemical_formula_sum 'Hf1 Sn1 N1 F2'
_cell_length_a 4.273
_cell_length_b 4.273
_cell_length_c 4.233
_cell_angle_alpha 90.00
_cell_angle_beta 90.00
_cell_angle_gamma 90.00
_symmetry_space_group_name_H-M 'P 4/m m m'
_symmetry_Int_Tables_number 123
_symmetry_space_group_name_Hall '-P 4 2'
loop_
_atom_site_label
_atom_site_fract_x
_atom_site_fract_y
_atom_site_fract_z
Hf1 0.000 0.000 0.000
Sn1 0.500 0.500 0.500
N1 0.000 0.000 0.500
F1 0.000 0.500 0.000

=====

Which of them is most stable, and which least? Most stable: (b); least stable: (a).

=====

(a)
# SrHfN2F, optimized geometry, DFT GGA-PBE
# Crystal system: tetragonal
data_SrHfN2F
_chemical_formula_sum 'Sr1 Hf1 N2 F1'
_cell_length_a 4.514
_cell_length_b 4.514
_cell_length_c 4.189
_cell_angle_alpha 90.00
_cell_angle_beta 90.00
_cell_angle_gamma 90.00
_symmetry_space_group_name_H-M 'P 4/m m m'
_symmetry_Int_Tables_number 123
_symmetry_space_group_name_Hall '-P 4 2'
loop_
_atom_site_label
_atom_site_fract_x
_atom_site_fract_y
_atom_site_fract_z
Sr1 0.000 0.000 0.000
Hf1 0.500 0.500 0.500
N1 0.000 0.500 0.000
F1 0.000 0.000 0.500

=====

(b)
# SrHfN2F, optimized geometry, DFT GGA-PBE
# Crystal system: tetragonal
data_SrHfN2F
_chemical_formula_sum 'Sr1 Hf1 N2 F1'
_cell_length_a 4.231
_cell_length_b 4.231
_cell_length_c 4.211
_cell_angle_alpha 90.00
_cell_angle_beta 90.00
_cell_angle_gamma 90.00
_symmetry_space_group_name_H-M 'P 4/m m m'
_symmetry_Int_Tables_number 123
_symmetry_space_group_name_Hall '-P 4 2'
loop_
_atom_site_label
_atom_site_fract_x
_atom_site_fract_y
_atom_site_fract_z
Sr1 0.000 0.000 0.000
Hf1 0.500 0.500 0.500
N1 0.000 0.500 0.500
F1 0.500 0.500 0.000

=====

Which of them is most stable, and which least? Most stable: (b); least stable: (a).

=====

(a)
# HfTaN2F, optimized geometry, DFT GGA-PBE
# Crystal system: tetragonal
data_HfTaN2F
_chemical_formula_sum 'Hf1 Ta1 N2 F1'
_cell_length_a 4.100
_cell_length_b 4.100
_cell_length_c 3.900
_cell_angle_alpha 90.00
_cell_angle_beta 90.00
_cell_angle_gamma 90.00
_symmetry_space_group_name_H-M 'P 4/m m m'
_symmetry_Int_Tables_number 123
_symmetry_space_group_name_Hall '-P 4 2'
loop_
_atom_site_label
_atom_site_fract_x
_atom_site_fract_y
_atom_site_fract_z
Hf1 0.000 0.000 0.000
Ta1 0.500 0.500 0.500
N1 0.000 0.500 0.500
F1 0.500 0.500 0.000

=====

(b)
# HfTaN2F, optimized geometry, DFT GGA-PBE
# Crystal system: tetragonal
data_HfTaN2F
_chemical_formula_sum 'Hf1 Ta1 N2 F1'
_cell_length_a 4.236
_cell_length_b 4.236
_cell_length_c 3.859
_cell_angle_alpha 90.00
_cell_angle_beta 90.00
_cell_angle_gamma 90.00
_symmetry_space_group_name_H-M 'P 4/m m m'
_symmetry_Int_Tables_number 123
_symmetry_space_group_name_Hall '-P 4 2'
loop_
_atom_site_label
_atom_site_fract_x
_atom_site_fract_y
_atom_site_fract_z
Hf1 0.000 0.000 0.000
Ta1 0.500 0.500 0.500
N1 0.000 0.500 0.000
F1 0.000 0.000 0.500

=====

Which of them is most stable, and which least? Most stable: (a); least stable: (b).

=====

(a)
# HfTaNF2, optimized geometry, DFT GGA-PBE
# Crystal system: tetragonal
data_HfTaNF2
_chemical_formula_sum 'Hf1 Ta1 N1 F2'
_cell_length_a 4.150
_cell_length_b 4.150
_cell_length_c 4.129
_cell_angle_alpha 90.00
_cell_angle_beta 90.00
_cell_angle_gamma 90.00
_symmetry_space_group_name_H-M 'P 4/m m m'
_symmetry_Int_Tables_number 123
_symmetry_space_group_name_Hall '-P 4 2'
loop_
_atom_site_label
_atom_site_fract_x
_atom_site_fract_y
_atom_site_fract_z
Hf1 0.000 0.000 0.000
Ta1 0.500 0.500 0.500
N1 0.500 0.500 0.000
F1 0.000 0.500 0.500

=====

(b)
# HfTaNF2, optimized geometry, DFT GGA-PBE
# Crystal system: tetragonal
data_HfTaNF2
_chemical_formula_sum 'Hf1 Ta1 N1 F2'
_cell_length_a 4.082
_cell_length_b 4.082
_cell_length_c 4.401
_cell_angle_alpha 90.00
_cell_angle_beta 90.00
_cell_angle_gamma 90.00
_symmetry_space_group_name_H-M 'P 4/m m m'
_symmetry_Int_Tables_number 123
_symmetry_space_group_name_Hall '-P 4 2'
loop_
_atom_site_label
_atom_site_fract_x
_atom_site_fract_y
_atom_site_fract_z
Hf1 0.000 0.000 0.000
Ta1 0.500 0.500 0.500
N1 0.000 0.000 0.500
F1 0.000 0.500 0.000

=====

Which of them is most stable, and which least? Most stable: (b); least stable: (a).

=====

(a)
# HfTeN2F, optimized geometry, DFT GGA-PBE
# Crystal system: tetragonal
data_HfTeN2F
_chemical_formula_sum 'Hf1 Te1 N2 F1'
_cell_length_a 4.255
_cell_length_b 4.255
_cell_length_c 4.115
_cell_angle_alpha 90.00
_cell_angle_beta 90.00
_cell_angle_gamma 90.00
_symmetry_space_group_name_H-M 'P 4/m m m'
_symmetry_Int_Tables_number 123
_symmetry_space_group_name_Hall '-P 4 2'
loop_
_atom_site_label
_atom_site_fract_x
_atom_site_fract_y
_atom_site_fract_z
Hf1 0.000 0.000 0.000
Te1 0.500 0.500 0.500
N1 0.000 0.500 0.500
F1 0.500 0.500 0.000

=====

(b)
# HfTeN2F, optimized geometry, DFT GGA-PBE
# Crystal system: tetragonal
data_HfTeN2F
_chemical_formula_sum 'Hf1 Te1 N2 F1'
_cell_length_a 4.320
_cell_length_b 4.320
_cell_length_c 4.017
_cell_angle_alpha 90.00
_cell_angle_beta 90.00
_cell_angle_gamma 90.00
_symmetry_space_group_name_H-M 'P 4/m m m'
_symmetry_Int_Tables_number 123
_symmetry_space_group_name_Hall '-P 4 2'
loop_
_atom_site_label
_atom_site_fract_x
_atom_site_fract_y
_atom_site_fract_z
Hf1 0.000 0.000 0.000
Te1 0.500 0.500 0.500
N1 0.000 0.500 0.000
F1 0.000 0.000 0.500

=====

(c)
# HfTeN2F, optimized geometry, DFT GGA-PBE
# Crystal system: tetragonal
data_HfTeN2F
_chemical_formula_sum 'Hf1 Te1 N2 F1'
_cell_length_a 4.228
_cell_length_b 4.228
_cell_length_c 3.987
_cell_angle_alpha 90.00
_cell_angle_beta 90.00
_cell_angle_gamma 90.00
_symmetry_space_group_name_H-M 'P 4/m m m'
_symmetry_Int_Tables_number 123
_symmetry_space_group_name_Hall '-P 4 2'
loop_
_atom_site_label
_atom_site_fract_x
_atom_site_fract_y
_atom_site_fract_z
Hf1 0.000 0.000 0.000
Te1 0.500 0.500 0.000
N1 0.000 0.500 0.500
F1 0.500 0.500 0.500

=====

Which of them is most stable, and which least? Most stable: (b); least stable: (c).